Version w
An optimized crystal structure of Rb3TeH2, computed with PBE-GGA.

Summary:
D(E_F) in states/eV per cell: 5.73
Spin magnetization in μB per atom: 0.000

The structure in CIF format:
```
data_Rb3TeH2
_chemical_formula_sum 'Rb12 Te4 H8'
_space_group_name_H-M_alt 'C m c m'
_space_group_IT_number 63
_space_group_name_Hall '-C 2c 2'
_cell_length_a 11.201
_cell_length_b 16.541
_cell_length_c 4.717
_cell_angle_alpha 90.00
_cell_angle_beta 90.00
_cell_angle_gamma 90.00
loop_
_atom_site_label
_atom_site_fract_x
_atom_site_fract_y
_atom_site_fract_z
Rb1 0.000 0.099 0.250
Rb2 0.199 0.361 0.250
Te1 0.000 0.262 0.750
H1 0.187 0.000 0.000
```

Version x
An optimized crystal structure of Rb3TeH2, computed with PBE-GGA.

Summary:
D(E_F) in states/eV per cell: 5.81
Spin magnetization in μB per atom: 0.000

The structure in CIF format:
```
data_Rb3TeH2
_chemical_formula_sum 'Rb12 Te4 H8'
_space_group_name_H-M_alt 'C 1 2/m 1'
_space_group_IT_number 12
_cell_length_a 26.697
_cell_length_b 5.566
_cell_length_c 5.415
_cell_angle_alpha 90.00
_cell_angle_beta 90.38
_cell_angle_gamma 90.00
loop_
_space_group_symop_operation_xyz
'x,y,z'
'-x,-y,-z'
'-x,y,-z'
'x,-y,z'
'x+1/2,y+1/2,z'
'-x+1/2,-y+1/2,-z'
'-x+1/2,y+1/2,-z'
'x+1/2,-y+1/2,z'
loop_
_atom_site_label
_atom_site_fract_x
_atom_site_fract_y
_atom_site_fract_z
Rb1 0.071 0.000 0.252
Rb2 0.071 0.500 0.752
Rb3 0.202 0.000 0.753
Te1 0.162 0.500 0.254
H1 0.041 0.000 0.751
H2 0.168 0.500 0.758
```

version x is the most stable structure shown above.